Entry from the Alexandria database: an optimized crystal structure of PuMg2Hg2 (PBE-GGA).

Cell and atoms, written as extended XYZ:
```
10
Lattice="8.6296 0.0000 0.0000 0.0000 8.6296 0.0000 0.0000 0.0000 3.0603" Properties=species:S:1:pos:R:3 pbc="T T T"
Pu 0.0000 0.0000 0.0000
Pu 4.3148 4.3148 0.0000
Mg 1.0855 3.2293 0.0000
Mg 3.2293 7.5441 0.0000
Mg 5.4004 1.0855 0.0000
Mg 7.5441 5.4004 0.0000
Hg 1.4844 5.7992 1.5301
Hg 2.8304 1.4844 1.5301
Hg 5.7992 7.1452 1.5301
Hg 7.1452 2.8304 1.5301
```

Computed properties:
- Crystal system: tetragonal
- Raw total energy: -3.745 eV/atom
- SG: P4/mbm
- Energy relative to the elements: -2.76 kcal/mol of atoms
- Density of states at the Fermi level: 20.602 states/eV per cell
- Total magnetization: 6.19 μB per formula unit